(1)
KNa2H6Ru (PBE-GGA, optimized geometry); crystal system = trigonal; volume = 143 Å³ per cell; SG = R-3, No. 148; final energy = -34.48 eV for the cell shown; N(E_F) = 0.4225 states/eV per atom
1.0
2.6768 1.5454 5.7449
-2.6768 1.5454 5.7449
0.0000 -3.0909 5.7449
K Na H Ru
1 2 6 1
direct
0.0000 0.0000 0.0000
0.2019 0.2019 0.2019
0.7981 0.7981 0.7981
0.2245 0.3678 0.7406
0.2594 0.7755 0.6322
0.3678 0.7406 0.2245
0.6322 0.2594 0.7755
0.7406 0.2245 0.3678
0.7755 0.6322 0.2594
0.5000 0.5000 0.5000

=====

(2)
LiAcPd2Au (PBE-GGA, optimized geometry); crystal system = tetragonal; volume = 107 Å³ per cell; DFT formation energy = -3.25 eV/f.u.; SG = I-4m2, No. 119; N(E_F) = 0.3580 states/eV per atom
1.0
-2.0536 2.0536 6.3333
2.0536 -2.0536 6.3333
2.0536 2.0536 -6.3333
Li Ac Pd Au
1 1 2 1
direct
0.0000 0.0000 0.0000
0.2500 0.7500 0.5000
0.6439 0.1439 0.5000
0.8561 0.3561 0.5000
0.5000 0.5000 0.0000

=====

(3)
IrPt3 (PBE-GGA, optimized geometry); crystal system = monoclinic; volume = 62 Å³ per cell; DFT formation energy = 0.26 eV/f.u.; SG = C2/m, No. 12; N(E_F) = 2.0475 states/eV per atom
1.0
4.5905 -1.3994 0.0000
4.5905 1.3994 0.0000
-0.8566 0.0000 4.7887
Ir Pt
1 3
direct
0.0000 0.0000 0.0000
0.2535 0.2535 0.7549
0.5000 0.5000 0.5000
0.7465 0.7465 0.2451

=====

(4)
B2HS2 (PBE-GGA, optimized geometry); crystal system = tetragonal; volume = 62 Å³ per cell; SG = I4/mmm, No. 139; final energy = -20.63 eV for the cell shown; N(E_F) = 0.2012 states/eV per atom
1.0
-1.7420 1.7420 5.1062
1.7420 -1.7420 5.1062
1.7420 1.7420 -5.1062
B H S
2 1 2
direct
0.2500 0.7500 0.5000
0.7500 0.2500 0.5000
0.0000 0.0000 0.0000
0.3484 0.3484 0.0000
0.6516 0.6516 0.0000

=====

(5)
Nd16Y6Tm7 (PBE-GGA, optimized geometry); crystal system = cubic; volume = 1018 Å³ per cell; DFT formation energy = 5.55 eV/f.u.; SG = Fm-3m, No. 225; N(E_F) = 1.4138 states/eV per atom
1.0
0.0000 7.9833 7.9833
7.9833 0.0000 7.9833
7.9833 7.9833 0.0000
Nd Y Tm
16 6 7
direct
0.0494 0.6502 0.6502
0.1241 0.1241 0.1241
0.1241 0.1241 0.6276
0.1241 0.6276 0.1241
0.3498 0.3498 0.3498
0.3498 0.3498 0.9506
0.3498 0.9506 0.3498
0.3724 0.8759 0.8759
0.6276 0.1241 0.1241
0.6502 0.0494 0.6502
0.6502 0.6502 0.0494
0.6502 0.6502 0.6502
0.8759 0.3724 0.8759
0.8759 0.8759 0.3724
0.8759 0.8759 0.8759
0.9506 0.3498 0.3498
0.2702 0.2702 0.7298
0.2702 0.7298 0.2702
0.2702 0.7298 0.7298
0.7298 0.2702 0.2702
0.7298 0.2702 0.7298
0.7298 0.7298 0.2702
0.0000 0.0000 0.0000
0.0000 0.0000 0.5000
0.0000 0.5000 0.0000
0.0000 0.5000 0.5000
0.5000 0.0000 0.0000
0.5000 0.0000 0.5000
0.5000 0.5000 0.0000

=====

(6)
ScVSb2I (PBE-GGA, optimized geometry); crystal system = tetragonal; volume = 147 Å³ per cell; SG = P4/mmm, No. 123; final energy = -23.76 eV for the cell shown; N(E_F) = 1.1301 states/eV per atom
1.0
5.1242 0.0000 0.0000
0.0000 5.1242 0.0000
0.0000 0.0000 5.5906
Sc V Sb I
1 1 2 1
direct
0.0000 0.0000 0.0000
0.5000 0.5000 0.5000
0.0000 0.5000 0.5000
0.5000 0.0000 0.5000
0.5000 0.5000 0.0000

=====

(7)
RbBaDyCl6 (PBE-GGA, optimized geometry); crystal system = trigonal; volume = 687 Å³ per cell; SG = P-31c, No. 163; final energy = -78.78 eV for the cell shown; N(E_F) = 0.0000 states/eV per atom
1.0
7.6895 0.0000 0.0000
-3.8448 6.6593 0.0000
0.0000 0.0000 13.4168
Rb Ba Dy Cl
2 2 2 12
direct
0.0000 0.0000 0.0000
0.0000 0.0000 0.5000
0.3333 0.6667 0.2500
0.6667 0.3333 0.7500
0.3333 0.6667 0.7500
0.6667 0.3333 0.2500
0.0425 0.3882 0.6375
0.0425 0.6543 0.8625
0.3457 0.3882 0.8625
0.3457 0.9575 0.6375
0.3882 0.0425 0.1375
0.3882 0.3457 0.3625
0.6118 0.6543 0.6375
0.6118 0.9575 0.8625
0.6543 0.0425 0.3625
0.6543 0.6118 0.1375
0.9575 0.3457 0.1375
0.9575 0.6118 0.3625

=====

(8)
GeSb2Mo (PBE-GGA, optimized geometry); crystal system = tetragonal; volume = 246 Å³ per cell; SG = I-42d, No. 122; final energy = -42.60 eV for the cell shown; N(E_F) = 0.4229 states/eV per atom
1.0
-3.1622 3.1622 6.1551
3.1622 -3.1622 6.1551
3.1622 3.1622 -6.1551
Ge Sb Mo
2 4 2
direct
0.0000 0.0000 0.0000
0.7500 0.2500 0.5000
0.1371 0.6250 0.0121
0.3750 0.3871 0.5121
0.6129 0.1250 0.9879
0.8750 0.8629 0.4879
0.2500 0.7500 0.5000
0.5000 0.5000 0.0000

=====

(9)
Y2AgHgC (PBE-GGA, optimized geometry); crystal system = tetragonal; volume = 106 Å³ per cell; DFT formation energy = -0.86 eV/f.u.; SG = P4/mmm, No. 123; N(E_F) = 0.7863 states/eV per atom
1.0
4.9332 0.0000 0.0000
0.0000 4.9332 0.0000
0.0000 0.0000 4.3644
Y Ag Hg C
2 1 1 1
direct
0.0000 0.5000 0.0000
0.5000 0.0000 0.0000
0.0000 0.0000 0.5000
0.5000 0.5000 0.5000
0.0000 0.0000 0.0000

=====

(10)
MnTc2Br (PBE-GGA, optimized geometry); crystal system = cubic; volume = 59 Å³ per cell; SG = Fm-3m, No. 225; final energy = -28.34 eV for the cell shown; N(E_F) = 0.8306 states/eV per atom
1.0
0.0000 3.0887 3.0887
3.0887 0.0000 3.0887
3.0887 3.0887 0.0000
Mn Tc Br
1 2 1
direct
0.0000 0.0000 0.0000
0.2500 0.2500 0.2500
0.7500 0.7500 0.7500
0.5000 0.5000 0.5000

=====

(11)
LiSn3Pd4 (PBE-GGA, optimized geometry); crystal system = tetragonal; volume = 140 Å³ per cell; DFT formation energy = -4.18 eV/f.u.; SG = I4/mmm, No. 139; N(E_F) = 0.3707 states/eV per atom
1.0
-2.3257 2.3257 6.4641
2.3257 -2.3257 6.4641
2.3257 2.3257 -6.4641
Li Sn Pd
1 3 4
direct
0.0000 0.0000 0.0000
0.2413 0.2413 0.0000
0.5000 0.5000 0.0000
0.7587 0.7587 0.0000
0.1204 0.6204 0.5000
0.3796 0.8796 0.5000
0.6204 0.1204 0.5000
0.8796 0.3796 0.5000

=====

(12)
Tc2HgRh (PBE-GGA, optimized geometry); crystal system = orthorhombic; volume = 63 Å³ per cell; DFT formation energy = 1.90 eV/f.u.; SG = Cmmm, No. 65; N(E_F) = 1.4895 states/eV per atom
1.0
2.6646 -4.2644 0.0000
2.6646 4.2644 0.0000
0.0000 0.0000 2.7796
Tc Hg Rh
2 1 1
direct
0.0000 0.5000 0.0000
0.5000 0.0000 0.0000
0.0000 0.0000 0.5000
0.5000 0.5000 0.5000